# 1
Here is a crystal of Ba6Na2Nb2P2O17 relaxed with PBEsol from Alexandria. Energies are from SCAN.

Lattice parameters (Å, degrees): 5.8171 5.8171 14.5779 90.00 90.00 120.00
Closest atoms and distances in Å follow each position.
Fractional coordinates of all 29 atoms:
Ba: 0.3333 0.6667 0.3431  9 O 2.84-2.91
Ba: 0.6667 0.3333 0.6569  9 O 2.84-2.91
Ba: 0.3333 0.6667 0.8190  4 O 2.62-2.80
Ba: 0.6667 0.3333 0.1810  4 O 2.62-2.80
Ba: 0.0000 0.0000 0.0000  6 O 2.82
Ba: 0.0000 0.0000 0.5000  12 O 2.91-2.94
Na: 0.0000 0.0000 0.2448  6 O 2.23-2.41
Na: 0.0000 0.0000 0.7552  6 O 2.23-2.41
Nb: 0.6667 0.3333 0.4121  6 O 1.92-2.11
Nb: 0.3333 0.6667 0.5879  6 O 1.92-2.11
P: 0.6667 0.3333 0.8956  4 O 1.54-1.57
P: 0.3333 0.6667 0.1044  4 O 1.54-1.57
O: 0.8250 0.1750 0.3385  1 Nb 1.92
O: 0.1883 0.3765 0.1429  1 P 1.57
O: 0.5000 0.5000 0.5000  2 Nb 2.11
O: 0.3501 0.1750 0.3385  1 Nb 1.92
O: 0.8117 0.1883 0.8571  1 P 1.57
O: 0.6667 0.3333 0.0009  1 P 1.54
O: 0.1750 0.8250 0.6615  1 Nb 1.92
O: 0.1750 0.3501 0.6615  1 Nb 1.92
O: 0.3765 0.1883 0.8571  1 P 1.57
O: 0.3333 0.6667 0.9991  1 P 1.54
O: 0.1883 0.8117 0.1429  1 P 1.57
O: 0.6235 0.8117 0.1429  1 P 1.57
O: 0.8117 0.6235 0.8571  1 P 1.57
O: 0.0000 0.5000 0.5000  2 Nb 2.11
O: 0.8250 0.6499 0.3385  1 Nb 1.92
O: 0.6499 0.8250 0.6615  1 Nb 1.92
O: 0.5000 0.0000 0.5000  2 Nb 2.11

## Properties
**DOS at the Fermi energy**: 0.000 states/eV per atom
**Uncorrected energy**: -526.2 eV for the cell shown
**Raw formation energy**: -3.02 eV per atom
**Density**: 5.40 g/cm3
**Symmetry**: No. 164
**Crystal system**: trigonal



# 2
Here is a crystal of LiMg2Zn relaxed with PBEsol from Alexandria. Energies are from SCAN.

Lattice parameters (Å, degrees): 2.9512 4.4288 5.7503 90.00 103.09 90.00
Closest atoms and distances in Å follow each position.
Fractional coordinates of all 4 atoms:
Zn: 0.5000 0.5000 0.0000  4 Mg 2.79, 2 Li 2.92, 2 Zn 2.95
Mg: 0.7338 0.0000 0.7573  2 Zn 2.79, 2 Li 2.87, 4 Mg 2.88-2.97
Mg: 0.2662 0.0000 0.2427  2 Zn 2.79, 2 Li 2.87, 4 Mg 2.88-2.97
Li: 0.0000 0.5000 0.5000  4 Mg 2.87, 2 Zn 2.92, 2 Li 2.95

## Properties
**DOS at the Fermi energy**: 0.276 states/eV per atom
**Energy relative to the elements**: -67 meV per atom
**Uncorrected energy**: -26.1 eV for the cell shown
**Density**: 2.74 g/cm3
**Symmetry**: No. 10
**Crystal system**: monoclinic



# 3
Here is a crystal of AlCr2Re relaxed with PBEsol from Alexandria. Energies are from SCAN.

Lattice parameters (Å, degrees): 2.5810 4.0887 4.9263 90.00 101.69 90.00
Closest atoms and distances in Å follow each position.
Fractional coordinates of all 4 atoms:
Re: 0.5380 0.0000 0.4991  4 Cr 2.48-2.61, 2 Re 2.58, 2 Al 2.62
Al: 0.2301 0.5000 0.7595  4 Cr 2.50-2.58, 2 Al 2.58, 2 Re 2.62
Cr: 0.9632 0.0000 0.9980  4 Cr 2.48-2.58, 2 Re 2.48-2.61, 2 Al 2.52
Cr: 0.7687 0.5000 0.2435  4 Cr 2.48-2.58, 2 Al 2.50-2.58, 2 Re 2.53

## Properties
**DOS at the Fermi energy**: 0.646 states/eV per atom
**Energy relative to the elements**: -111 meV per atom
**Uncorrected energy**: -116.1 eV for the cell shown
**Density**: 10.35 g/cm3
**Symmetry**: No. 6
**Crystal system**: monoclinic



# 4
Here is a crystal of SiP2Ru relaxed with PBEsol from Alexandria. Energies are from SCAN.

Lattice parameters (Å, degrees): 4.2127 4.2127 4.2127 60.00 60.00 60.00
Closest atoms and distances in Å follow each position.
Fractional coordinates of all 4 atoms:
P: 0.0000 0.0000 0.0000  4 Si 2.58, 4 P 2.58
P: 0.7500 0.7500 0.7500  4 Ru 2.58, 4 P 2.58
Ru: 0.5000 0.5000 0.5000  4 Si 2.58, 4 P 2.58
Si: 0.2500 0.2500 0.2500  4 Ru 2.58, 4 P 2.58

## Properties
**DOS at the Fermi energy**: 0.938 states/eV per atom
**Uncorrected energy**: -63.8 eV for the cell shown
**Raw formation energy**: 0.47 eV per atom
**Density**: 6.00 g/cm3
**Symmetry**: No. 216
**Crystal system**: cubic



# 5
Here is a crystal of LaSc2Fe relaxed with PBEsol from Alexandria. Energies are from SCAN.

Lattice parameters (Å, degrees): 3.1422 3.1422 8.6726 90.00 90.00 90.15
Closest atoms and distances in Å follow each position.
Fractional coordinates of all 4 atoms:
Sc: 0.0000 0.0000 0.3317  4 Fe 2.66, 1 Sc 2.92
Sc: 0.0000 0.0000 0.6683  4 Fe 2.66, 1 Sc 2.92
Fe: 0.5000 0.5000 0.5000  8 Sc 2.66
La: 0.5000 0.5000 0.0000  4 La 3.14

## Properties
**DOS at the Fermi energy**: 0.718 states/eV per atom
**Energy relative to the elements**: 0 meV per atom
**Uncorrected energy**: -89.7 eV for the cell shown
**Density**: 5.52 g/cm3
**Symmetry**: No. 65
**Crystal system**: orthorhombic
**Relative energy among the computed polymorphs**: 0 meV per atom



# 6
Here is a crystal of AlSbSe2Br relaxed with PBEsol from Alexandria. Energies are from SCAN.

Lattice parameters (Å, degrees): 5.2625 5.2625 5.5118 90.00 90.00 90.00
Closest atoms and distances in Å follow each position.
Fractional coordinates of all 5 atoms:
Sb: 0.0000 0.0000 0.0000  4 Se 2.63, 2 Br 2.76
Se: 0.0000 0.5000 0.0000  2 Sb 2.63
Se: 0.5000 0.0000 0.0000  2 Sb 2.63
Br: 0.0000 0.0000 0.5000  2 Sb 2.76
Al: 0.5000 0.5000 0.5000  4 Br 3.72, 8 Se 3.81

## Properties
**DOS at the Fermi energy**: 0.378 states/eV per atom
**Uncorrected energy**: -103.6 eV for the cell shown
**Raw formation energy**: 0.21 eV per atom
**Density**: 4.21 g/cm3
**Symmetry**: No. 123
**Crystal system**: tetragonal



# 7
Here is a crystal of TeSIN2 relaxed with PBEsol from Alexandria. Energies are from SCAN.

Lattice parameters (Å, degrees): 3.9590 3.9590 5.8249 90.00 90.00 90.00
Closest atoms and distances in Å follow each position.
Fractional coordinates of all 5 atoms:
I: 0.0000 0.0000 0.0000  4 N 1.98
S: 0.0000 0.0000 0.5000  4 Te 2.80, 2 I 2.91
Te: 0.5000 0.5000 0.5000  4 S 2.80
N: 0.0000 0.5000 0.0000  2 I 1.98
N: 0.5000 0.0000 0.0000  2 I 1.98

## Properties
**DOS at the Fermi energy**: 0.731 states/eV per atom
**Uncorrected energy**: -93.2 eV for the cell shown
**Raw formation energy**: 1.79 eV per atom
**Density**: 5.72 g/cm3
**Symmetry**: No. 123
**Crystal system**: tetragonal



# 8
Here is a crystal of ReHgAs2 relaxed with PBEsol from Alexandria. Energies are from SCAN.

Lattice parameters (Å, degrees): 2.9140 4.8223 6.2293 112.77 103.53 90.00
Closest atoms and distances in Å follow each position.
Fractional coordinates of all 4 atoms:
Re: 0.0000 0.5000 0.0000  4 As 2.52, 4 Hg 2.82
As: 0.6848 0.6848 0.3696  2 Re 2.52
As: 0.3152 0.3152 0.6304  2 Re 2.52
Hg: 0.5000 0.0000 0.0000  4 Re 2.82, 2 Hg 2.91

## Properties
**DOS at the Fermi energy**: 0.699 states/eV per atom
**Energy relative to the elements**: 390 meV per atom
**Uncorrected energy**: -178.1 eV for the cell shown
**Density**: 11.41 g/cm3
**Symmetry**: No. 71
**Crystal system**: orthorhombic



# 9
Here is a crystal of Na2ZnCl4 relaxed with PBEsol from Alexandria. Energies are from SCAN.

Lattice parameters (Å, degrees): 6.3549 8.0352 13.6454 90.00 90.00 90.00
Closest atoms and distances in Å follow each position.
Fractional coordinates of all 28 atoms:
Na: 0.5000 0.0000 0.5000  6 Cl 2.76-2.81
Na: 0.5000 0.5000 0.5000  6 Cl 2.76-2.81
Na: 0.5092 0.2500 0.7712  6 Cl 2.76-2.86
Na: 0.0092 0.7500 0.7288  6 Cl 2.76-2.86
Na: 0.9908 0.2500 0.2712  6 Cl 2.76-2.86
Na: 0.0000 0.0000 0.0000  6 Cl 2.76-2.81
Na: 0.4908 0.7500 0.2288  6 Cl 2.76-2.86
Na: 0.0000 0.5000 0.0000  6 Cl 2.76-2.81
Zn: 0.9111 0.7500 0.4074  4 Cl 2.23-2.28
Zn: 0.4111 0.2500 0.0926  4 Cl 2.23-2.28
Zn: 0.0889 0.2500 0.5926  4 Cl 2.23-2.28
Zn: 0.5889 0.7500 0.9074  4 Cl 2.23-2.28
Cl: 0.7376 0.2500 0.5925  1 Zn 2.23
Cl: 0.7679 0.7500 0.5609  1 Zn 2.28
Cl: 0.2412 0.0269 0.6665  1 Zn 2.27
Cl: 0.2679 0.2500 0.9391  1 Zn 2.28
Cl: 0.2376 0.7500 0.9075  1 Zn 2.23
Cl: 0.2624 0.7500 0.4075  1 Zn 2.23
Cl: 0.7412 0.5269 0.8335  1 Zn 2.27
Cl: 0.7321 0.7500 0.0609  1 Zn 2.28
Cl: 0.2588 0.0269 0.1665  1 Zn 2.27
Cl: 0.7588 0.5269 0.3335  1 Zn 2.27
Cl: 0.7588 0.9731 0.3335  1 Zn 2.27
Cl: 0.7412 0.9731 0.8335  1 Zn 2.27
Cl: 0.2412 0.4731 0.6665  1 Zn 2.27
Cl: 0.7624 0.2500 0.0925  1 Zn 2.23
Cl: 0.2321 0.2500 0.4391  1 Zn 2.28
Cl: 0.2588 0.4731 0.1665  1 Zn 2.27

## Properties
**DOS at the Fermi energy**: 0.000 states/eV per atom
**Uncorrected energy**: -263.8 eV for the cell shown
**Raw formation energy**: -1.73 eV per atom
**Density**: 2.41 g/cm3
**Symmetry**: No. 62
**Crystal system**: orthorhombic



# 10
Here is a crystal of ZrSiSbPb2 relaxed with PBEsol from Alexandria. Energies are from SCAN.

Lattice parameters (Å, degrees): 4.8714 5.6758 5.6758 90.00 90.00 90.00
Closest atoms and distances in Å follow each position.
Fractional coordinates of all 5 atoms:
Pb: 0.0000 0.0000 0.5000  2 Sb 2.84
Pb: 0.0000 0.5000 0.0000  2 Sb 2.84
Sb: 0.0000 0.0000 0.0000  2 Si 2.44
Si: 0.5000 0.0000 0.0000  2 Sb 2.44
Zr: 0.5000 0.5000 0.5000  8 Pb 3.74, 4 Si 4.01

## Properties
**DOS at the Fermi energy**: 0.949 states/eV per atom
**Uncorrected energy**: -223.6 eV for the cell shown
**Raw formation energy**: 1.18 eV per atom
**Density**: 6.94 g/cm3
**Symmetry**: No. 123
**Crystal system**: tetragonal



# 11
Here is a crystal of TaCr2Tc relaxed with PBEsol from Alexandria. Energies are from SCAN.

Lattice parameters (Å, degrees): 2.8138 2.8138 8.2413 80.17 80.17 60.00
Closest atoms and distances in Å follow each position.
Fractional coordinates of all 4 atoms:
Cr: 0.0045 0.0045 0.9865  3 Cr 2.35, 3 Tc 2.53
Cr: 0.7410 0.7410 0.7770  3 Cr 2.35
Ta: 0.4965 0.4965 0.5104  3 Cr 2.70, 3 Tc 2.81, 6 Ta 2.81
Tc: 0.2580 0.2580 0.2261  3 Cr 2.53, 3 Ta 2.81, 6 Tc 2.81

## Properties
**DOS at the Fermi energy**: 0.902 states/eV per atom
**Energy relative to the elements**: 297 meV per atom
**Uncorrected energy**: -137.2 eV for the cell shown
**Density**: 11.48 g/cm3
**Symmetry**: No. 160
**Crystal system**: trigonal
**Relative energy among the computed polymorphs**: 371 meV per atom



# 12
Here is a crystal of Mg2InNi relaxed with PBEsol from Alexandria. Energies are from SCAN.

Lattice parameters (Å, degrees): 3.2930 4.6215 5.4467 115.10 107.60 90.00
Closest atoms and distances in Å follow each position.
Fractional coordinates of all 4 atoms:
Ni: 0.4973 0.4973 0.9946  2 In 2.58, 6 Mg 2.61-2.84
Mg: 0.0039 0.0039 0.0078  4 Ni 2.84, 4 Mg 3.03-3.15, 4 In 3.08-3.09
Mg: 0.2150 0.7150 0.4300  2 Ni 2.61, 4 In 2.91
In: 0.7838 0.2838 0.5676  2 Ni 2.58

## Properties
**DOS at the Fermi energy**: 0.287 states/eV per atom
**Energy relative to the elements**: -130 meV per atom
**Uncorrected energy**: -60.0 eV for the cell shown
**Density**: 5.21 g/cm3
**Symmetry**: No. 44
**Crystal system**: orthorhombic



# 13
Here is a crystal of GePOsCl2 relaxed with PBEsol from Alexandria. Energies are from SCAN.

Lattice parameters (Å, degrees): 4.5720 4.5720 5.0403 90.00 90.00 90.00
Closest atoms and distances in Å follow each position.
Fractional coordinates of all 5 atoms:
P: 0.5000 0.5000 0.5000  4 Os 3.23, 8 Cl 3.40
Ge: 0.0000 0.0000 0.0000  4 Cl 2.29, 2 Os 2.52
Os: 0.0000 0.0000 0.5000  2 Ge 2.52
Cl: 0.0000 0.5000 0.0000  2 Ge 2.29
Cl: 0.5000 0.0000 0.0000  2 Ge 2.29

## Properties
**DOS at the Fermi energy**: 1.068 states/eV per atom
**Uncorrected energy**: -110.8 eV for the cell shown
**Raw formation energy**: 1.30 eV per atom
**Density**: 5.75 g/cm3
**Symmetry**: No. 123
**Crystal system**: tetragonal